The following is a PBE-GGA calculation of a relaxed Sr2ZrSi crystal, from Alexandria.

formation energy (no corrections) = 1.4 eV/f.u.

Cell: 4.8415 4.8415 9.5194 Å, 90.00 90.00 90.00°
With the nearest neighbours (Å) after each atom.
Fractional coordinates of all 8 atoms:
1 Sr 0.0000 0.0000 0.0000  4 Sr 3.39, 4 Zr 3.39, 4 Si 3.42
2 Sr 0.0000 0.5000 0.2500  4 Sr 3.39, 4 Si 3.39, 4 Zr 3.42
3 Sr 0.5000 0.0000 0.7500  4 Sr 3.39, 4 Si 3.39, 4 Zr 3.42
4 Sr 0.5000 0.5000 0.5000  4 Sr 3.39, 4 Zr 3.39, 4 Si 3.42
5 Zr 0.0000 0.5000 0.7500  8 Sr 3.39-3.42, 4 Si 3.39
6 Zr 0.5000 0.0000 0.2500  8 Sr 3.39-3.42, 4 Si 3.39
7 Si 0.0000 0.0000 0.5000  4 Zr 3.39, 8 Sr 3.39-3.42
8 Si 0.5000 0.5000 0.0000  4 Zr 3.39, 8 Sr 3.39-3.42



The following is a PBE-GGA calculation of a relaxed SrZr2Si crystal, from Alexandria.

formation energy (no corrections) = 0.6 eV/f.u.

Cell: 3.4225 3.4225 29.9875 Å, 90.00 90.00 120.00°
With the nearest neighbours (Å) after each atom.
Fractional coordinates of all 12 atoms:
1 Sr 0.0000 0.0000 0.0000  3 Si 3.08, 6 Sr 3.42
2 Sr 0.3333 0.6667 0.6667  3 Si 3.08, 6 Sr 3.42
3 Sr 0.6667 0.3333 0.3333  3 Si 3.08, 6 Sr 3.42
4 Zr 0.0000 0.0000 0.5210  3 Si 2.81, 3 Zr 3.14
5 Zr 0.0000 0.0000 0.7729  9 Zr 3.14-3.42
6 Zr 0.3333 0.6667 0.1876  3 Si 2.81, 3 Zr 3.14
7 Zr 0.3333 0.6667 0.4396  9 Zr 3.14-3.42
8 Zr 0.6667 0.3333 0.1062  9 Zr 3.14-3.42
9 Zr 0.6667 0.3333 0.8543  3 Si 2.81, 3 Zr 3.14
10 Si 0.0000 0.0000 0.2545  3 Zr 2.81, 3 Sr 3.08
11 Si 0.3333 0.6667 0.9211  3 Zr 2.81, 3 Sr 3.08
12 Si 0.6667 0.3333 0.5878  3 Zr 2.81, 3 Sr 3.08



The following is a PBE-GGA calculation of a relaxed SrZr2Si crystal, from Alexandria.

formation energy (no corrections) = 0.0 eV/f.u.

Cell: 11.9900 3.3543 5.4733 Å, 90.00 113.87 90.00°
With the nearest neighbours (Å) after each atom.
Fractional coordinates of all 8 atoms:
1 Sr 0.0000 0.0000 0.0000  4 Si 3.21, 2 Sr 3.35, 4 Zr 3.46-3.54
2 Sr 0.5000 0.5000 0.0000  4 Si 3.21, 2 Sr 3.35, 4 Zr 3.46-3.54
3 Zr 0.1987 0.0000 0.6853  2 Si 2.75
4 Zr 0.3013 0.5000 0.3147  2 Si 2.75
5 Zr 0.6987 0.5000 0.6853  2 Si 2.75
6 Zr 0.8013 0.0000 0.3147  2 Si 2.75
7 Si 0.0000 0.5000 0.5000  4 Zr 2.75
8 Si 0.5000 0.0000 0.5000  4 Zr 2.75



The following is a PBE-GGA calculation of a relaxed Sr2Zr2Si crystal, from Alexandria.

formation energy (no corrections) = 1.8 eV/f.u.
distance to the lowest polymorph of the same formula = 0.00 eV per formula unit

Cell: 3.8969 3.8969 21.3814 Å, 90.00 90.00 90.00°
With the nearest neighbours (Å) after each atom.
Fractional coordinates of all 10 atoms:
1 Sr 0.0000 0.0000 0.0888  4 Si 3.35
2 Sr 0.0000 0.0000 0.9112  4 Si 3.35
3 Sr 0.5000 0.5000 0.4112  4 Si 3.35
4 Sr 0.5000 0.5000 0.5888  4 Si 3.35
5 Zr 0.0000 0.5000 0.2500  4 Zr 2.76
6 Zr 0.0000 0.5000 0.7500  4 Zr 2.76
7 Zr 0.5000 0.0000 0.2500  4 Zr 2.76
8 Zr 0.5000 0.0000 0.7500  4 Zr 2.76
9 Si 0.0000 0.0000 0.5000  8 Sr 3.35
10 Si 0.5000 0.5000 0.0000  8 Sr 3.35



The following is a PBE-GGA calculation of a relaxed SrZr2Si2 crystal, from Alexandria.

formation energy (no corrections) = -2.2 eV/f.u.
distance to the lowest polymorph of the same formula = 0.00 eV per formula unit

Cell: 4.4358 4.4358 11.9854 Å, 90.00 90.00 90.00°
With the nearest neighbours (Å) after each atom.
Fractional coordinates of all 10 atoms:
1 Sr 0.0000 0.0000 0.0000  8 Si 3.40, 8 Zr 3.73
2 Sr 0.5000 0.5000 0.5000  8 Si 3.40, 8 Zr 3.73
3 Zr 0.0000 0.5000 0.2500  4 Si 2.78
4 Zr 0.0000 0.5000 0.7500  4 Si 2.78
5 Zr 0.5000 0.0000 0.2500  4 Si 2.78
6 Zr 0.5000 0.0000 0.7500  4 Si 2.78
7 Si 0.0000 0.0000 0.3903  1 Si 2.63, 4 Zr 2.78
8 Si 0.0000 0.0000 0.6097  1 Si 2.63, 4 Zr 2.78
9 Si 0.5000 0.5000 0.1097  1 Si 2.63, 4 Zr 2.78
10 Si 0.5000 0.5000 0.8903  1 Si 2.63, 4 Zr 2.78



The following is a PBE-GGA calculation of a relaxed SrZr2Si crystal, from Alexandria.

formation energy (no corrections) = 1.7 eV/f.u.

Cell: 6.3535 9.3845 3.1261 Å, 90.00 90.00 90.00°
With the nearest neighbours (Å) after each atom.
Fractional coordinates of all 8 atoms:
1 Sr 0.0000 0.0000 0.0000  2 Sr 3.13, 2 Si 3.18, 8 Zr 3.24
2 Sr 0.5000 0.5000 0.0000  2 Sr 3.13, 2 Si 3.18, 8 Zr 3.24
3 Zr 0.2500 0.2500 0.5000  4 Zr 3.13-3.18, 4 Sr 3.24, 4 Si 3.24
4 Zr 0.2500 0.7500 0.5000  4 Zr 3.13-3.18, 4 Sr 3.24, 4 Si 3.24
5 Zr 0.7500 0.2500 0.5000  4 Zr 3.13-3.18, 4 Sr 3.24, 4 Si 3.24
6 Zr 0.7500 0.7500 0.5000  4 Zr 3.13-3.18, 4 Sr 3.24, 4 Si 3.24
7 Si 0.0000 0.5000 0.0000  2 Si 3.13, 2 Sr 3.18, 8 Zr 3.24
8 Si 0.5000 0.0000 0.0000  2 Si 3.13, 2 Sr 3.18, 8 Zr 3.24



The following is a PBE-GGA calculation of a relaxed SrZr2Si crystal, from Alexandria.

formation energy (no corrections) = 1.3 eV/f.u.

Cell: 7.2448 7.2448 7.2448 Å, 90.00 90.00 90.00°
With the nearest neighbours (Å) after each atom.
Fractional coordinates of all 16 atoms:
1 Sr 0.0000 0.0000 0.0000  4 Si 3.14, 4 Zr 3.14
2 Sr 0.0000 0.5000 0.5000  4 Si 3.14, 4 Zr 3.14
3 Sr 0.5000 0.0000 0.5000  4 Si 3.14, 4 Zr 3.14
4 Sr 0.5000 0.5000 0.0000  4 Si 3.14, 4 Zr 3.14
5 Zr 0.0000 0.0000 0.5000  4 Zr 3.14, 4 Si 3.14
6 Zr 0.0000 0.5000 0.0000  4 Zr 3.14, 4 Si 3.14
7 Zr 0.2500 0.2500 0.2500  4 Zr 3.14, 4 Sr 3.14
8 Zr 0.2500 0.7500 0.7500  4 Zr 3.14, 4 Sr 3.14
9 Zr 0.5000 0.0000 0.0000  4 Zr 3.14, 4 Si 3.14
10 Zr 0.5000 0.5000 0.5000  4 Zr 3.14, 4 Si 3.14
11 Zr 0.7500 0.2500 0.7500  4 Zr 3.14, 4 Sr 3.14
12 Zr 0.7500 0.7500 0.2500  4 Zr 3.14, 4 Sr 3.14
13 Si 0.2500 0.2500 0.7500  4 Zr 3.14, 4 Sr 3.14
14 Si 0.2500 0.7500 0.2500  4 Zr 3.14, 4 Sr 3.14
15 Si 0.7500 0.2500 0.2500  4 Zr 3.14, 4 Sr 3.14
16 Si 0.7500 0.7500 0.7500  4 Sr 3.14, 4 Zr 3.14



The following is a PBE-GGA calculation of a relaxed Sr2ZrSi crystal, from Alexandria.

formation energy (no corrections) = 1.1 eV/f.u.

Cell: 3.4420 3.4420 10.0929 Å, 90.00 90.00 90.00°
With the nearest neighbours (Å) after each atom.
Fractional coordinates of all 4 atoms:
1 Sr 0.0000 0.0000 0.2082  4 Si 3.22, 4 Sr 3.44
2 Sr 0.0000 0.0000 0.7918  4 Si 3.22, 4 Sr 3.44
3 Zr 0.5000 0.5000 0.5000  4 Zr 3.44, 8 Sr 3.82
4 Si 0.5000 0.5000 0.0000  8 Sr 3.22, 4 Si 3.44



The following is a PBE-GGA calculation of a relaxed Sr2ZrSi crystal, from Alexandria.

formation energy (no corrections) = 1.6 eV/f.u.

Cell: 7.5793 7.5793 7.5793 Å, 90.00 90.00 90.00°
With the nearest neighbours (Å) after each atom.
Fractional coordinates of all 16 atoms:
1 Sr 0.0000 0.0000 0.0000  4 Zr 3.28, 4 Sr 3.28
2 Sr 0.0000 0.5000 0.5000  4 Zr 3.28, 4 Sr 3.28
3 Sr 0.2500 0.2500 0.2500  4 Sr 3.28, 4 Si 3.28
4 Sr 0.2500 0.7500 0.7500  4 Sr 3.28, 4 Si 3.28
5 Sr 0.5000 0.0000 0.5000  4 Zr 3.28, 4 Sr 3.28
6 Sr 0.5000 0.5000 0.0000  4 Zr 3.28, 4 Sr 3.28
7 Sr 0.7500 0.2500 0.7500  4 Sr 3.28, 4 Si 3.28
8 Sr 0.7500 0.7500 0.2500  4 Sr 3.28, 4 Si 3.28
9 Zr 0.2500 0.2500 0.7500  4 Si 3.28, 4 Sr 3.28
10 Zr 0.2500 0.7500 0.2500  4 Si 3.28, 4 Sr 3.28
11 Zr 0.7500 0.2500 0.2500  4 Si 3.28, 4 Sr 3.28
12 Zr 0.7500 0.7500 0.7500  4 Si 3.28, 4 Sr 3.28
13 Si 0.0000 0.0000 0.5000  4 Sr 3.28, 4 Zr 3.28
14 Si 0.0000 0.5000 0.0000  4 Sr 3.28, 4 Zr 3.28
15 Si 0.5000 0.0000 0.0000  4 Sr 3.28, 4 Zr 3.28
16 Si 0.5000 0.5000 0.5000  4 Sr 3.28, 4 Zr 3.28



The following is a PBE-GGA calculation of a relaxed SrZrSi crystal, from Alexandria.

formation energy (no corrections) = -0.1 eV/f.u.

Cell: 4.5656 4.6945 14.0786 Å, 90.00 90.00 90.00°
With the nearest neighbours (Å) after each atom.
Fractional coordinates of all 12 atoms:
1 Sr 0.0000 0.0000 0.0000  4 Si 3.18-3.23, 4 Sr 3.27
2 Sr 0.0000 0.5000 0.5000  4 Si 3.18-3.23, 4 Sr 3.27
3 Sr 0.5000 0.0000 0.5000  4 Si 3.18-3.23, 4 Sr 3.27
4 Sr 0.5000 0.5000 0.0000  4 Si 3.18-3.23, 4 Sr 3.27
5 Zr 0.0000 0.0000 0.2761  4 Si 2.83-2.88
6 Zr 0.0000 0.5000 0.7761  4 Si 2.83-2.88
7 Zr 0.5000 0.0000 0.7761  4 Si 2.83-2.88
8 Zr 0.5000 0.5000 0.2761  4 Si 2.83-2.88
9 Si 0.0000 0.0000 0.6574  4 Zr 2.83-2.88
10 Si 0.0000 0.5000 0.1574  4 Zr 2.83-2.88
11 Si 0.5000 0.0000 0.1574  4 Zr 2.83-2.88
12 Si 0.5000 0.5000 0.6574  4 Zr 2.83-2.88



Number 1: calculated volume 27.89 Å³ per atom. Number 2: calculated volume 25.35 Å³ per atom. Number 3: calculated volume 25.16 Å³ per atom. Number 4: calculated volume 32.47 Å³ per atom. Number 5: calculated volume 23.58 Å³ per atom. Number 6: calculated volume 23.30 Å³ per atom. Number 7: calculated volume 23.77 Å³ per atom. Number 8: calculated volume 29.89 Å³ per atom. Number 9: calculated volume 27.21 Å³ per atom. Number 10: calculated volume 25.15 Å³ per atom.